No. 1
First-principles (PBE) data for an optimized crystal structure of PaReH, as listed in the Alexandria database.

```
data_PaReH
_chemical_formula_sum 'Pa1 Re1 H1'
_space_group_name_H-M_alt 'P 1'
_space_group_IT_number 1
_cell_length_a 3.1744
_cell_length_b 3.1744
_cell_length_c 4.8606
_cell_angle_alpha 90.00
_cell_angle_beta 90.00
_cell_angle_gamma 120.00
loop_
_space_group_symop_operation_xyz
'x,y,z'
loop_
_atom_site_label
_atom_site_type_symbol
_atom_site_fract_x
_atom_site_fract_y
_atom_site_fract_z
_atom_site_occupancy
Re1 Re 0.6667 0.3333 0.4475 1
Pa1 Pa 0.0000 0.0000 0.9575 1
H1 H 0.3333 0.6667 0.5950 1
```



No. 2
# KMg6Si (PBE, relaxed)
data_KMg6Si
_chemical_formula_sum 'K1 Mg6 Si1'
_space_group_name_H-M_alt 'P 1'
_space_group_IT_number 1
_cell_length_a 7.6933
_cell_length_b 7.6933
_cell_length_c 4.8751
_cell_angle_alpha 90.00
_cell_angle_beta 90.00
_cell_angle_gamma 132.80
loop_
_space_group_symop_operation_xyz
'x,y,z'
loop_
_atom_site_label
_atom_site_type_symbol
_atom_site_fract_x
_atom_site_fract_y
_atom_site_fract_z
_atom_site_occupancy
K1 K 0.7980 0.2020 0.5000 1
Mg1 Mg 0.8267 0.6944 0.5000 1
Mg2 Mg 0.3056 0.1733 0.5000 1
Mg3 Mg 0.6694 0.8189 0.0000 1
Mg4 Mg 0.1811 0.3306 0.0000 1
Mg5 Mg 0.6293 0.3707 0.0000 1
Mg6 Mg 0.1848 0.8152 0.0000 1
Si1 Si 0.4051 0.5949 0.5000 1
# Formation energy from raw total energies ... 0.1670 eV/atom



No. 3
# Na4Cd2In5 (PBE, relaxed)
data_Na4Cd2In5
_chemical_formula_sum 'Na4 Cd2 In5'
_space_group_name_H-M_alt 'P 1'
_space_group_IT_number 1
_cell_length_a 3.3671
_cell_length_b 10.6298
_cell_length_c 9.7033
_cell_angle_alpha 120.58
_cell_angle_beta 90.00
_cell_angle_gamma 90.00
loop_
_space_group_symop_operation_xyz
'x,y,z'
loop_
_atom_site_label
_atom_site_type_symbol
_atom_site_fract_x
_atom_site_fract_y
_atom_site_fract_z
_atom_site_occupancy
Na1 Na 0.5000 0.7302 0.4587 1
Na2 Na 0.5000 0.2283 0.9890 1
Na3 Na 0.5000 0.2698 0.5413 1
Na4 Na 0.5000 0.7717 0.0110 1
Cd1 Cd 0.0000 0.0913 0.6717 1
Cd2 Cd 0.0000 0.9087 0.3283 1
In1 In 0.0000 0.4208 0.3182 1
In2 In 0.0000 0.0948 0.1827 1
In3 In 0.0000 0.5000 0.0000 1
In4 In 0.0000 0.9052 0.8173 1
In5 In 0.0000 0.5792 0.6818 1
# ΔH_f (0 K) ... -0.061 eV/atom



Energy above the most stable polymorph in this dataset, respectively: 0 8 32 meV per atom.
Density of states at the Fermi level, respectively: 2.62 2.73 5.00 states/eV/f.u..